1.
VASP calculation (GGA-PBE) on crystalline TaInPb2 at its relaxed geometry.

a b c (Å): 3.342 5.079 6.017
angles (deg): 90.00 105.97 90.00
Atoms (fractional coordinates):
Ta  0.000  0.000  0.000
In  0.137  0.500  0.274
Pb  0.404  0.500  0.808
Pb  0.729  0.000  0.457

---

2.
VASP calculation (GGA-PBE) on crystalline Tl6MoCl12 at its relaxed geometry.

## Properties
E_form (uncorrected) (eV/atom): -0.90

a b c (Å): 8.821 8.821 8.821
angles (deg): 94.23 94.23 94.23
Atoms (fractional coordinates):
Tl  0.150  0.336  0.842
Tl  0.158  0.850  0.664
Tl  0.336  0.842  0.150
Tl  0.664  0.158  0.850
Tl  0.842  0.150  0.336
Tl  0.850  0.664  0.158
Mo  0.500  0.500  0.500
Cl  0.068  0.919  0.321
Cl  0.081  0.679  0.932
Cl  0.235  0.473  0.509
Cl  0.321  0.068  0.919
Cl  0.473  0.509  0.235
Cl  0.491  0.765  0.527
Cl  0.509  0.235  0.473
Cl  0.527  0.491  0.765
Cl  0.679  0.932  0.081
Cl  0.765  0.527  0.491
Cl  0.919  0.321  0.068
Cl  0.932  0.081  0.679

---

Here are the calculated E numbers, same order: -5.0576, -3.3787 (eV per atom).